The following is a PBE calculation of Mg2TlGa2 after structural relaxation, from Alexandria via LeMat-Bulk.

Lattice parameters (Å, degrees): 8.3724 8.3724 3.1100 90.00 90.00 90.00
Closest atoms and distances in Å follow each position.
Element x y z (fractional)
Tl 0.0000 0.0000 0.0000  2 Tl 3.11, 4 Ga 3.37, 8 Mg 3.44
Tl 0.5000 0.5000 0.0000  2 Tl 3.11, 4 Ga 3.37, 8 Mg 3.44
Mg 0.1814 0.6814 0.5000  6 Ga 2.87-2.98, 2 Mg 3.11
Mg 0.6814 0.8186 0.5000  6 Ga 2.87-2.98, 2 Mg 3.11
Mg 0.8186 0.3186 0.5000  6 Ga 2.87-2.98, 2 Mg 3.11
Mg 0.3186 0.1814 0.5000  6 Ga 2.87-2.98, 2 Mg 3.11
Ga 0.3854 0.8854 0.0000  1 Ga 2.71, 6 Mg 2.87-2.98
Ga 0.8854 0.6146 0.0000  1 Ga 2.71, 6 Mg 2.87-2.98
Ga 0.6146 0.1146 0.0000  1 Ga 2.71, 6 Mg 2.87-2.98
Ga 0.1146 0.3854 0.0000  1 Ga 2.71, 6 Mg 2.87-2.98

**SG**: P4/mbm, No. 127
**E above lowest polymorph**: 0.000 eV/atom
**Uncorrected energy**: -23.85 eV/cell
**Energy of formation**: -0.3 eV/f.u.

The following is a PBE calculation of Ac6Tl2Zn after structural relaxation, from Alexandria via LeMat-Bulk.

Lattice parameters (Å, degrees): 4.1252 9.6816 9.6832 119.99 90.00 90.00
Closest atoms and distances in Å follow each position.
Element x y z (fractional)
Ac 0.5000 0.5976 0.0000  4 Tl 3.60, 6 Ac 3.88-3.99, 1 Zn 3.89
Ac 0.5000 0.4026 0.4025  4 Tl 3.60, 6 Ac 3.88-3.99, 1 Zn 3.90
Ac 0.5000 0.0000 0.5975  4 Tl 3.60, 6 Ac 3.88-3.99, 1 Zn 3.90
Ac 0.0000 0.2577 0.0000  2 Zn 3.24
Ac 0.0000 0.7422 0.7421  2 Zn 3.24
Ac 0.0000 0.0001 0.2579  2 Zn 3.24
Tl 0.0000 0.3334 0.6668  9 Ac 3.60-3.65
Tl 0.0000 0.6666 0.3332  9 Ac 3.60-3.65
Zn 0.5000 0.9998 0.0000  6 Ac 3.24

**SG**: P-62m, No. 189
**E above lowest polymorph**: 0.000 eV/atom
**Uncorrected energy**: -32.49 eV/cell
**Energy of formation**: -1.8 eV/f.u.

The following is a PBE calculation of Sr2TlGeIr after structural relaxation, from Alexandria via LeMat-Bulk.

Lattice parameters (Å, degrees): 5.8930 5.8930 4.7314 90.00 90.00 90.00
Closest atoms and distances in Å follow each position.
Element x y z (fractional)
Sr 0.0000 0.5000 0.0000  2 Ir 2.95
Sr 0.5000 0.0000 0.0000  2 Ir 2.95
Tl 0.5000 0.5000 0.5000  8 Sr 3.78, 4 Ge 4.17
Ir 0.0000 0.0000 0.0000  2 Ge 2.37
Ge 0.0000 0.0000 0.5000  2 Ir 2.37

**SG**: P4/mmm, No. 123
**Uncorrected energy**: -20.79 eV/cell
**Energy of formation**: -1.6 eV/f.u.